BeGa2HgI | PBE | optimized geometry

abc: 5.242 6.324 5.242
angles: 90.00 90.00 90.00
Atoms (fractional coordinates):
Ga1 0.500 0.000 0.000
Ga2 0.000 0.000 0.500
I1 0.000 0.500 0.000
Be1 0.500 0.500 0.500
Hg1 0.000 0.000 0.000

Output
Formation energy without anion corrections, eV/atom: 0.83



KBeGaHg2 | PBE | optimized geometry

abc: 5.106 5.106 4.654
angles: 90.00 90.00 90.00
Atoms (fractional coordinates):
Hg1 0.500 0.000 0.000
Hg2 0.000 0.500 0.000
Ga1 0.000 0.000 0.500
Be1 0.000 0.000 0.000
K1 0.500 0.500 0.500

Output
Formation energy, meV/atom: 56.1



LaBe2GaHg | PBE | optimized geometry

abc: 5.316 6.086 5.316
angles: 90.00 90.00 90.00
Atoms (fractional coordinates):
Hg1 0.000 0.500 0.000
La1 0.000 0.000 0.000
Be1 0.000 0.000 0.500
Be2 0.500 0.000 0.000
Ga1 0.500 0.500 0.500

Output
Formation energy, meV/atom: 1433.4



Be2GaHgO | PBE | optimized geometry

abc: 4.525 3.960 4.525
angles: 90.00 90.00 90.00
Atoms (fractional coordinates):
Be1 0.500 0.000 0.000
Be2 0.000 0.000 0.500
O1 0.000 0.500 0.000
Ga1 0.000 0.000 0.000
Hg1 0.500 0.500 0.500

Output
Formation energy without anion corrections, eV/atom: 0.52



BeGaHgOs2 | PBE | optimized geometry

abc: 4.257 4.187 4.257
angles: 90.00 90.00 90.00
Atoms (fractional coordinates):
Be1 0.000 0.000 0.000
Os1 0.500 0.000 0.000
Os2 0.000 0.000 0.500
Ga1 0.000 0.500 0.000
Hg1 0.500 0.500 0.500

Output
Formation energy, meV/atom: 822.3
Relative energy among the computed polymorphs, meV per atom: 0.0



BeGaHgOs2 | PBE | optimized geometry

abc: 4.251 4.341 4.251
angles: 90.00 90.00 90.00
Atoms (fractional coordinates):
Ga1 0.500 0.500 0.500
Hg1 0.000 0.500 0.000
Os1 0.000 0.000 0.500
Os2 0.500 0.000 0.000
Be1 0.000 0.000 0.000

Output
Formation energy, meV/atom: 928.6
Relative energy among the computed polymorphs, meV per atom: 106.2



VASP energy readings, ordered: -7.46 -8.17 -8.54 -13.16 -25.40 -24.87 eV per formula unit